Run P
## BaCaSN2 (PBE)

Data for a geometry-optimized BaCaSN2 structure.

a b c (Å): 4.5786 4.5786 6.2501
angles (deg): 90.00 90.00 90.00
Sites, in units of the cell vectors:
Ba: 0.0000 0.0000 0.0000
Ca: 0.5000 0.5000 0.5000
S: 0.0000 0.0000 0.5000
N: 0.0000 0.5000 0.0000
N: 0.5000 0.0000 0.0000

Values from the calculation:
- Calculated density: 3.01 g/cm3
- Space group: P4/mmm, No. 123



Run Q
## BaCaSN2 (PBE)

Data for a geometry-optimized BaCaSN2 structure.

a b c (Å): 4.6988 4.6988 5.4068
angles (deg): 90.00 90.00 90.00
Sites, in units of the cell vectors:
Ba: 0.0000 0.0000 0.0000
Ca: 0.5000 0.5000 0.5000
S: 0.5000 0.5000 0.0000
N: 0.0000 0.5000 0.5000
N: 0.5000 0.0000 0.5000

Values from the calculation:
- Calculated density: 3.30 g/cm3
- Space group: P4/mmm, No. 123



The most stable of them is run Q.



Run P
## BaCaSe2N (PBE)

Data for a geometry-optimized BaCaSe2N structure.

a b c (Å): 5.6004 5.6004 4.6868
angles (deg): 90.00 90.00 90.00
Sites, in units of the cell vectors:
Ba: 0.0000 0.0000 0.0000
Ca: 0.5000 0.5000 0.5000
Se: 0.0000 0.5000 0.5000
Se: 0.5000 0.0000 0.5000
N: 0.5000 0.5000 0.0000

Values from the calculation:
- Calculated density: 3.95 g/cm3
- Space group: P4/mmm, No. 123



Run Q
## BaCaSe2N (PBE)

Data for a geometry-optimized BaCaSe2N structure.

a b c (Å): 5.9754 5.9754 4.7114
angles (deg): 90.00 90.00 90.00
Sites, in units of the cell vectors:
Ba: 0.0000 0.0000 0.0000
Ca: 0.5000 0.5000 0.5000
Se: 0.0000 0.5000 0.0000
Se: 0.5000 0.0000 0.0000
N: 0.0000 0.0000 0.5000

Values from the calculation:
- Calculated density: 3.45 g/cm3
- Space group: P4/mmm, No. 123



The most stable of them is run P.



Run P
## BaCaTe2N (PBE)

Data for a geometry-optimized BaCaTe2N structure.

a b c (Å): 6.0434 6.0434 4.7003
angles (deg): 90.00 90.00 90.00
Sites, in units of the cell vectors:
Ba: 0.0000 0.0000 0.0000
Ca: 0.5000 0.5000 0.5000
Te: 0.0000 0.5000 0.5000
Te: 0.5000 0.0000 0.5000
N: 0.5000 0.5000 0.0000

Values from the calculation:
- Calculated density: 4.32 g/cm3
- Space group: P4/mmm, No. 123



Run Q
## BaCaTe2N (PBE)

Data for a geometry-optimized BaCaTe2N structure.

a b c (Å): 6.4083 6.4083 4.7161
angles (deg): 90.00 90.00 90.00
Sites, in units of the cell vectors:
Ba: 0.0000 0.0000 0.0000
Ca: 0.5000 0.5000 0.5000
Te: 0.0000 0.5000 0.0000
Te: 0.5000 0.0000 0.0000
N: 0.0000 0.0000 0.5000

Values from the calculation:
- Calculated density: 3.83 g/cm3
- Space group: P4/mmm, No. 123



The most stable of them is run P.



Run P
## Ba6NaCa (PBE)

Data for a geometry-optimized Ba6NaCa structure.

a b c (Å): 12.5433 12.5433 12.5433
angles (deg): 150.72 150.72 41.88
Sites, in units of the cell vectors:
Ba: 0.1112 0.6112 0.5000
Ba: 0.2476 0.2476 0.0000
Ba: 0.3888 0.8888 0.5000
Ba: 0.6112 0.1112 0.5000
Ba: 0.7524 0.7524 0.0000
Ba: 0.8888 0.3888 0.5000
Na: 0.5000 0.5000 0.0000
Ca: 0.0000 0.0000 0.0000

Values from the calculation:
- Calculated density: 3.13 g/cm3
- Space group: I4/mmm, No. 139



Run Q
## Ba6NaCa (PBE)

Data for a geometry-optimized Ba6NaCa structure.

a b c (Å): 7.7568 7.7616 7.7573
angles (deg): 90.00 90.05 90.00
Sites, in units of the cell vectors:
Ba: 0.0003 0.0000 0.2504
Ba: 0.9997 0.0000 0.7496
Ba: 0.2492 0.5000 0.9999
Ba: 0.5000 0.2504 0.5000
Ba: 0.5000 0.7496 0.5000
Ba: 0.7508 0.5000 0.0001
Na: 0.5000 0.0000 0.0000
Ca: 0.0000 0.5000 0.5000

Values from the calculation:
- Calculated density: 3.15 g/cm3
- Space group: P2/m, No. 10



The most stable of them is run P.